! ScZn9Ni3 (PBE, optimized geometry); values from VASP
&SYSTEM
  ibrav = 0, nat = 13, ntyp = 3
/
ATOMIC_SPECIES
Sc 44.96 Sc.upf
Zn 65.41 Zn.upf
Ni 58.69 Ni.upf
ATOMIC_POSITIONS crystal
Sc 0.000 0.000 0.000
Zn 0.993 0.334 0.653
Zn 0.493 0.788 0.219
Zn 0.646 0.334 0.347
Zn 0.000 0.500 0.000
Zn 0.354 0.666 0.653
Zn 0.507 0.212 0.781
Zn 0.007 0.666 0.347
Zn 0.288 0.212 0.219
Zn 0.712 0.788 0.781
Ni 0.000 0.000 0.500
Ni 0.500 0.500 0.000
Ni 0.500 0.000 0.500
CELL_PARAMETERS angstrom
-4.654 0.721 -1.694
-2.640 -5.394 -2.736
-4.562 -1.302 4.587
! Symmetry: C2/m

! ScZn2Ni5 (PBE, optimized geometry); values from VASP
&SYSTEM
  ibrav = 0, nat = 8, ntyp = 3
/
ATOMIC_SPECIES
Ni 58.69 Ni.upf
Zn 65.41 Zn.upf
Sc 44.96 Sc.upf
ATOMIC_POSITIONS crystal
Ni 0.375 0.853 0.397
Ni 0.625 0.603 0.147
Ni 0.625 0.147 0.603
Ni 0.000 0.500 0.500
Ni 0.375 0.397 0.853
Zn 0.755 0.745 0.745
Zn 0.245 0.255 0.255
Sc 0.000 0.000 0.000
CELL_PARAMETERS angstrom
-0.730 1.636 2.070
3.386 -2.389 4.891
5.238 3.607 0.805
! Symmetry: Immm

! Sc3Zn4Ni2 (PBE, optimized geometry); values from VASP
&SYSTEM
  ibrav = 0, nat = 9, ntyp = 3
/
ATOMIC_SPECIES
Ni 58.69 Ni.upf
Sc 44.96 Sc.upf
Zn 65.41 Zn.upf
ATOMIC_POSITIONS crystal
Ni 0.413 0.922 0.251
Ni 0.587 0.078 0.749
Sc 0.313 0.743 0.630
Sc 0.687 0.257 0.370
Sc 0.000 0.000 0.000
Zn 0.982 0.680 0.356
Zn 0.018 0.320 0.644
Zn 0.290 0.373 0.048
Zn 0.710 0.627 0.952
CELL_PARAMETERS angstrom
4.116 0.000 0.931
1.857 4.930 1.353
0.502 -0.215 7.344
! Symmetry: C2/m

! ScZn8Ni4 (PBE, optimized geometry); values from VASP
&SYSTEM
  ibrav = 0, nat = 13, ntyp = 3
/
ATOMIC_SPECIES
Ni 58.69 Ni.upf
Zn 65.41 Zn.upf
Sc 44.96 Sc.upf
ATOMIC_POSITIONS crystal
Ni 0.000 0.500 0.000
Ni 0.000 0.000 0.000
Ni 0.500 0.500 0.000
Ni 0.500 0.000 0.000
Zn 0.744 0.242 0.771
Zn 0.213 0.213 0.361
Zn 0.242 0.242 0.771
Zn 0.758 0.758 0.229
Zn 0.256 0.758 0.229
Zn 0.787 0.787 0.639
Zn 0.758 0.256 0.229
Zn 0.242 0.744 0.771
Sc 0.500 0.500 0.500
CELL_PARAMETERS angstrom
-2.349 3.786 -2.375
-5.043 0.244 0.010
-2.211 6.259 6.798
! Offset from the most stable computed form in eV per atom: 0.271
! Symmetry: R-3m

! ScZn3Ni (PBE, optimized geometry); values from VASP
&SYSTEM
  ibrav = 0, nat = 5, ntyp = 3
/
ATOMIC_SPECIES
Zn 65.41 Zn.upf
Ni 58.69 Ni.upf
Sc 44.96 Sc.upf
ATOMIC_POSITIONS crystal
Zn 0.500 0.000 0.000
Zn 0.000 0.500 0.000
Zn 0.000 0.000 0.500
Ni 0.000 0.000 0.000
Sc 0.500 0.500 0.500
CELL_PARAMETERS angstrom
4.486 0.000 0.000
0.000 4.486 0.000
0.000 0.000 4.486
! Offset from the most stable computed form in eV per atom: 0.338
! Symmetry: Pm-3m

! ScZn4Ni (PBE, optimized geometry); values from VASP
&SYSTEM
  ibrav = 0, nat = 12, ntyp = 3
/
ATOMIC_SPECIES
Sc 44.96 Sc.upf
Zn 65.41 Zn.upf
Ni 58.69 Ni.upf
ATOMIC_POSITIONS crystal
Sc 0.000 0.607 0.750
Sc 0.000 0.393 0.250
Zn 0.500 0.688 0.051
Zn 0.500 0.312 0.949
Zn 0.500 0.688 0.449
Zn 0.500 0.312 0.551
Zn 0.500 0.944 0.750
Zn 0.500 0.056 0.250
Zn 0.000 0.000 0.000
Zn 0.000 0.000 0.500
Ni 0.000 0.782 0.250
Ni 0.000 0.218 0.750
CELL_PARAMETERS angstrom
-0.392 1.455 -3.462
0.912 -5.950 -2.604
-7.452 -1.277 0.307
! Offset from the most stable computed form in eV per atom: 0.000
! Symmetry: Pmma

! Sc2Zn3Ni2 (PBE, optimized geometry); values from VASP
&SYSTEM
  ibrav = 0, nat = 7, ntyp = 3
/
ATOMIC_SPECIES
Zn 65.41 Zn.upf
Ni 58.69 Ni.upf
Sc 44.96 Sc.upf
ATOMIC_POSITIONS crystal
Zn 0.703 0.407 0.873
Zn 0.297 0.593 0.127
Zn 0.000 0.000 0.000
Ni 0.094 0.189 0.662
Ni 0.906 0.811 0.338
Sc 0.621 0.242 0.357
Sc 0.379 0.758 0.643
CELL_PARAMETERS angstrom
-1.690 -2.905 -2.154
4.837 -0.786 0.963
-2.648 -2.274 5.146
! Offset from the most stable computed form in eV per atom: 0.000
! Symmetry: C2/m

! ScZn10Ni2 (PBE, optimized geometry); values from VASP
&SYSTEM
  ibrav = 0, nat = 26, ntyp = 3
/
ATOMIC_SPECIES
Zn 65.41 Zn.upf
Ni 58.69 Ni.upf
Sc 44.96 Sc.upf
ATOMIC_POSITIONS crystal
Zn 0.215 0.472 0.750
Zn 0.404 0.141 0.750
Zn 0.227 0.227 0.500
Zn 0.373 0.627 0.456
Zn 0.627 0.373 0.956
Zn 0.528 0.785 0.750
Zn 0.146 0.854 0.903
Zn 0.627 0.373 0.544
Zn 0.854 0.146 0.097
Zn 0.373 0.627 0.044
Zn 0.596 0.859 0.250
Zn 0.146 0.854 0.597
Zn 0.141 0.404 0.250
Zn 0.227 0.227 0.000
Zn 0.472 0.215 0.250
Zn 0.859 0.596 0.750
Zn 0.773 0.773 0.000
Zn 0.773 0.773 0.500
Zn 0.785 0.528 0.250
Zn 0.854 0.146 0.403
Ni 0.500 0.000 0.500
Ni 0.500 0.000 0.000
Ni 0.000 0.500 0.500
Ni 0.000 0.500 0.000
Sc 0.869 0.131 0.750
Sc 0.131 0.869 0.250
CELL_PARAMETERS angstrom
-4.709 4.593 1.236
-0.646 -3.677 5.555
5.835 4.923 3.938
! Offset from the most stable computed form in eV per atom: 0.000
! Symmetry: Cmcm

! Sc2Zn12Ni (PBE, optimized geometry); values from VASP
&SYSTEM
  ibrav = 0, nat = 30, ntyp = 3
/
ATOMIC_SPECIES
Zn 65.41 Zn.upf
Ni 58.69 Ni.upf
Sc 44.96 Sc.upf
ATOMIC_POSITIONS crystal
Zn 0.500 0.500 0.191
Zn 0.250 0.250 0.089
Zn 0.750 0.750 0.089
Zn 0.000 0.000 0.665
Zn 0.750 0.250 0.911
Zn 0.000 0.000 0.335
Zn 0.000 0.000 0.191
Zn 0.750 0.250 0.089
Zn 0.750 0.750 0.911
Zn 0.000 0.000 0.809
Zn 0.250 0.250 0.911
Zn 0.830 0.330 0.568
Zn 0.330 0.830 0.432
Zn 0.170 0.330 0.432
Zn 0.250 0.750 0.911
Zn 0.500 0.500 0.665
Zn 0.170 0.670 0.568
Zn 0.500 0.500 0.809
Zn 0.670 0.830 0.568
Zn 0.250 0.750 0.089
Zn 0.670 0.170 0.432
Zn 0.830 0.670 0.432
Zn 0.500 0.500 0.335
Zn 0.330 0.170 0.568
Ni 0.000 0.500 0.000
Ni 0.500 0.000 0.000
Sc 0.000 0.500 0.249
Sc 0.500 0.000 0.751
Sc 0.000 0.500 0.751
Sc 0.500 0.000 0.249
CELL_PARAMETERS angstrom
5.476 0.000 0.000
0.000 5.476 0.000
0.000 0.000 16.603
! Symmetry: P4/nbm

! ScZn4Ni (PBE, optimized geometry); values from VASP
&SYSTEM
  ibrav = 0, nat = 12, ntyp = 3
/
ATOMIC_SPECIES
Zn 65.41 Zn.upf
Sc 44.96 Sc.upf
Ni 58.69 Ni.upf
ATOMIC_POSITIONS crystal
Zn 0.312 0.153 0.812
Zn 0.000 0.748 0.000
Zn 0.092 0.715 0.430
Zn 0.312 0.658 0.812
Zn 0.688 0.847 0.188
Zn 0.908 0.285 0.570
Zn 0.000 0.252 0.000
Zn 0.688 0.342 0.188
Sc 0.649 0.813 0.627
Sc 0.351 0.187 0.373
Ni 0.357 0.597 0.195
Ni 0.643 0.403 0.805
CELL_PARAMETERS angstrom
6.184 0.232 -0.899
-0.448 4.935 -1.811
-1.000 -0.537 6.469
! Offset from the most stable computed form in eV per atom: 0.023
! Symmetry: C2/m

! Sc2ZnNi9 (PBE, optimized geometry); values from VASP
&SYSTEM
  ibrav = 0, nat = 12, ntyp = 3
/
ATOMIC_SPECIES
Ni 58.69 Ni.upf
Sc 44.96 Sc.upf
Zn 65.41 Zn.upf
ATOMIC_POSITIONS crystal
Ni 0.500 0.500 0.330
Ni 0.500 0.000 0.500
Ni 0.000 0.500 0.844
Ni 0.500 0.000 0.156
Ni 0.500 0.500 0.000
Ni 0.500 0.000 0.844
Ni 0.000 0.500 0.500
Ni 0.000 0.500 0.156
Ni 0.500 0.500 0.670
Sc 0.000 0.000 0.328
Sc 0.000 0.000 0.672
Zn 0.000 0.000 0.000
CELL_PARAMETERS angstrom
-2.171 -2.502 1.616
0.053 -2.032 -3.074
8.810 -5.288 3.648
! Offset from the most stable computed form in eV per atom: 0.000
! Symmetry: P4/mmm

! ScZn3Ni3 (PBE, optimized geometry); values from VASP
&SYSTEM
  ibrav = 0, nat = 14, ntyp = 3
/
ATOMIC_SPECIES
Ni 58.69 Ni.upf
Zn 65.41 Zn.upf
Sc 44.96 Sc.upf
ATOMIC_POSITIONS crystal
Ni 0.500 0.250 0.000
Ni 0.250 0.000 0.500
Ni 0.000 0.500 0.750
Ni 0.500 0.750 0.000
Ni 0.000 0.500 0.250
Ni 0.750 0.000 0.500
Zn 0.250 0.500 0.000
Zn 0.500 0.000 0.250
Zn 0.750 0.500 0.000
Zn 0.500 0.000 0.750
Zn 0.000 0.750 0.500
Zn 0.000 0.250 0.500
Sc 0.500 0.500 0.500
Sc 0.000 0.000 0.000
CELL_PARAMETERS angstrom
-0.143 -5.308 -3.524
4.447 2.441 -3.858
4.563 -2.545 3.649
! Symmetry: Pm-3n

! ScZnNi2 (PBE, optimized geometry); values from VASP
&SYSTEM
  ibrav = 0, nat = 4, ntyp = 3
/
ATOMIC_SPECIES
Ni 58.69 Ni.upf
Zn 65.41 Zn.upf
Sc 44.96 Sc.upf
ATOMIC_POSITIONS crystal
Ni 0.000 0.000 0.986
Ni 0.500 0.500 0.248
Zn 0.500 0.500 0.791
Sc 0.000 0.000 0.476
CELL_PARAMETERS angstrom
-2.435 1.512 0.744
-1.561 -3.049 1.084
1.953 0.739 4.892
! Symmetry: Pmm2

! Sc12ZnNi6 (PBE, optimized geometry); values from VASP
&SYSTEM
  ibrav = 0, nat = 19, ntyp = 3
/
ATOMIC_SPECIES
Sc 44.96 Sc.upf
Ni 58.69 Ni.upf
Zn 65.41 Zn.upf
ATOMIC_POSITIONS crystal
Sc 0.186 0.706 0.892
Sc 0.186 0.294 0.481
Sc 0.892 0.186 0.706
Sc 0.814 0.706 0.519
Sc 0.481 0.186 0.294
Sc 0.814 0.294 0.108
Sc 0.706 0.892 0.186
Sc 0.294 0.108 0.814
Sc 0.294 0.481 0.186
Sc 0.706 0.519 0.814
Sc 0.108 0.814 0.294
Sc 0.519 0.814 0.706
Ni 0.500 0.868 0.368
Ni 0.132 0.632 0.500
Ni 0.868 0.368 0.500
Ni 0.632 0.500 0.132
Ni 0.500 0.132 0.632
Ni 0.368 0.500 0.868
Zn 0.000 0.000 0.000
CELL_PARAMETERS angstrom
-2.342 -4.855 5.618
7.269 -1.805 -2.126
-0.187 7.318 2.650
! Symmetry: Im-3

! ScZnNi2 (PBE, optimized geometry); values from VASP
&SYSTEM
  ibrav = 0, nat = 4, ntyp = 3
/
ATOMIC_SPECIES
Zn 65.41 Zn.upf
Ni 58.69 Ni.upf
Sc 44.96 Sc.upf
ATOMIC_POSITIONS crystal
Zn 0.750 0.750 0.750
Ni 0.250 0.250 0.250
Ni 0.000 0.000 0.000
Sc 0.500 0.500 0.500
CELL_PARAMETERS angstrom
-3.224 2.242 -1.755
-2.389 -1.751 -3.119
-4.077 -1.121 0.786
! Symmetry: F-43m

! Sc3Zn8Ni3 (PBE, optimized geometry); values from VASP
&SYSTEM
  ibrav = 0, nat = 14, ntyp = 3
/
ATOMIC_SPECIES
Zn 65.41 Zn.upf
Ni 58.69 Ni.upf
Sc 44.96 Sc.upf
ATOMIC_POSITIONS crystal
Zn 0.375 0.909 0.341
Zn 0.625 0.091 0.659
Zn 0.152 0.210 0.486
Zn 0.375 0.341 0.909
Zn 0.625 0.659 0.091
Zn 0.152 0.486 0.210
Zn 0.848 0.790 0.514
Zn 0.848 0.514 0.790
Ni 0.500 0.000 0.000
Ni 0.000 0.163 0.837
Ni 0.000 0.837 0.163
Sc 0.193 0.807 0.807
Sc 0.807 0.193 0.193
Sc 0.500 0.500 0.500
CELL_PARAMETERS angstrom
4.072 0.000 1.044
1.729 7.212 1.723
0.225 0.549 7.590
! Symmetry: Immm

! ScZn4Ni (PBE, optimized geometry); values from VASP
&SYSTEM
  ibrav = 0, nat = 6, ntyp = 3
/
ATOMIC_SPECIES
Ni 58.69 Ni.upf
Sc 44.96 Sc.upf
Zn 65.41 Zn.upf
ATOMIC_POSITIONS crystal
Ni 0.250 0.250 0.250
Sc 0.000 0.000 0.000
Zn 0.625 0.625 0.126
Zn 0.126 0.625 0.625
Zn 0.625 0.625 0.625
Zn 0.625 0.126 0.625
CELL_PARAMETERS angstrom
-0.358 -4.928 0.981
1.212 -1.754 4.564
-3.602 -1.700 3.083
! Offset from the most stable computed form in eV per atom: 0.096
! Symmetry: F-43m

! Sc2Zn4Ni5 (PBE, optimized geometry); values from VASP
&SYSTEM
  ibrav = 0, nat = 11, ntyp = 3
/
ATOMIC_SPECIES
Ni 58.69 Ni.upf
Sc 44.96 Sc.upf
Zn 65.41 Zn.upf
ATOMIC_POSITIONS crystal
Ni 0.000 0.500 0.000
Ni 0.500 0.500 0.000
Ni 0.750 0.500 0.500
Ni 0.500 0.000 0.000
Ni 0.250 0.500 0.500
Sc 0.890 0.000 0.220
Sc 0.110 0.000 0.780
Zn 0.472 0.316 0.740
Zn 0.528 0.684 0.260
Zn 0.212 0.316 0.260
Zn 0.788 0.684 0.740
CELL_PARAMETERS angstrom
-2.913 3.696 2.038
-3.375 -1.006 3.453
3.779 2.971 6.465
! Symmetry: Fmmm

! Sc4ZnNi (PBE, optimized geometry); values from VASP
&SYSTEM
  ibrav = 0, nat = 24, ntyp = 3
/
ATOMIC_SPECIES
Sc 44.96 Sc.upf
Zn 65.41 Zn.upf
Ni 58.69 Ni.upf
ATOMIC_POSITIONS crystal
Sc 0.186 0.814 0.186
Sc 0.818 0.394 0.394
Sc 0.394 0.394 0.818
Sc 0.561 0.561 0.939
Sc 0.394 0.818 0.394
Sc 0.814 0.186 0.186
Sc 0.561 0.939 0.561
Sc 0.186 0.814 0.814
Sc 0.814 0.186 0.814
Sc 0.394 0.394 0.394
Sc 0.814 0.814 0.186
Sc 0.939 0.939 0.561
Sc 0.186 0.186 0.814
Sc 0.939 0.561 0.939
Sc 0.561 0.939 0.939
Sc 0.939 0.561 0.561
Zn 0.491 0.170 0.170
Zn 0.170 0.170 0.491
Zn 0.170 0.170 0.170
Zn 0.170 0.491 0.170
Ni 0.605 0.605 0.605
Ni 0.186 0.605 0.605
Ni 0.605 0.186 0.605
Ni 0.605 0.605 0.186
CELL_PARAMETERS angstrom
-5.360 -6.789 -1.444
0.631 -7.214 4.946
-6.306 -1.915 5.785
! Offset from the most stable computed form in eV per atom: 0.000
! Symmetry: F-43m

! ScZn11Ni (PBE, optimized geometry); values from VASP
&SYSTEM
  ibrav = 0, nat = 13, ntyp = 3
/
ATOMIC_SPECIES
Zn 65.41 Zn.upf
Sc 44.96 Sc.upf
Ni 58.69 Ni.upf
ATOMIC_POSITIONS crystal
Zn 0.362 0.646 0.659
Zn 0.504 0.215 0.790
Zn 0.500 0.000 0.500
Zn 0.979 0.354 0.659
Zn 0.496 0.785 0.210
Zn 0.294 0.215 0.210
Zn 0.021 0.646 0.341
Zn 0.000 0.500 0.000
Zn 0.000 0.000 0.500
Zn 0.706 0.785 0.790
Zn 0.638 0.354 0.341
Sc 0.000 0.000 0.000
Ni 0.500 0.500 0.000
CELL_PARAMETERS angstrom
4.684 0.034 1.951
2.329 6.202 0.970
-0.048 0.017 6.713
! Symmetry: C2/m

no.,total DFT energy (no corrections) (eV for the cell shown),ΔE_f (eV/f.u.)
1,-38.37,-3.228
2,-38.99,-1.203
3,-39.21,-3.557
4,-39.73,-0.085
5,-15.94,-0.002
6,-37.78,-1.679
7,-30.75,-2.707
8,-67.04,-2.885
9,-70.47,-1.505
10,-37.50,-1.543
11,-69.56,-3.592
12,-48.84,3.079
13,-20.27,-1.098
14,-118.46,-6.521
15,-20.18,-1.013
16,-50.89,-4.363
17,-18.31,-1.101
18,-49.26,-2.597
19,-137.26,-1.933
20,-28.36,-2.235